Rb2BeMoI6: relaxed, GGA-PBE.

Geometry as extended XYZ:
```
10
Lattice="8.7874 0.0000 0.0000 0.0000 8.7874 0.0000 4.3937 4.3937 5.5445" Properties=species:S:1:pos:R:3 pbc="T T T"
I 1.9888 6.7986 0.0000
I 1.9888 1.9888 0.0000
I 6.7986 6.7986 0.0000
I 4.3937 4.3937 2.2468
I 6.7986 1.9888 0.0000
I 8.7874 8.7874 3.2977
Mo 0.0000 0.0000 0.0000
Rb 8.7874 4.3937 2.7723
Rb 4.3937 8.7874 2.7723
Be 4.3937 4.3937 0.0000
```

Total DFT energy (no corrections) in eV/atom: -3.13
Theoretical density in g/cm³: 4.02
E_form (uncorrected) in eV per formula unit: -5.53
M_tot in μB per cell: 4.00
Space group: No. 139